Entry 1:
# MgAgPb2 PBEsol relaxed
# DOS(E_F) = 0.37 states/eV/atom
# VASP energy = -3.320 eV per atom
# Calculated formation energy = -63 meV per atom
# V = 96.1 Å³/cell
# Total magnetic moment = 0.00 μB per atom
data_MgAgPb2
_chemical_formula_sum 'Mg1 Ag1 Pb2'
_cell_length_a 3.368
_cell_length_b 3.368
_cell_length_c 8.472
_cell_angle_alpha 90.00
_cell_angle_beta 90.00
_cell_angle_gamma 90.00
_symmetry_space_group_name_H-M 'P 4 m m'
_symmetry_Int_Tables_number 99
_symmetry_space_group_name_Hall 'P 4 -2'
loop_
_atom_site_label
_atom_site_type_symbol
_atom_site_fract_x
_atom_site_fract_y
_atom_site_fract_z
Mg1 Mg 0.000 0.000 0.000
Ag1 Ag 0.500 0.500 0.820
Pb1 Pb 0.000 0.000 0.587
Pb2 Pb 0.500 0.500 0.260

Entry 2:
# MgCo3 PBEsol relaxed
# DOS(E_F) = 1.04 states/eV/atom
# VASP energy = -5.991 eV per atom
# Calculated formation energy = 242 meV per atom
# V = 47.2 Å³/cell
# Total magnetic moment = 1.01 μB per atom
data_MgCo3
_chemical_formula_sum 'Mg1 Co3'
_cell_length_a 2.5912
_cell_length_b 2.5912
_cell_length_c 8.1090
_cell_angle_alpha 90.00
_cell_angle_beta 90.00
_cell_angle_gamma 120.00
_symmetry_space_group_name_H-M 'P -6 m 2'
_symmetry_Int_Tables_number 187
_symmetry_space_group_name_Hall 'P -6 2'
loop_
_atom_site_label
_atom_site_type_symbol
_atom_site_fract_x
_atom_site_fract_y
_atom_site_fract_z
Mg1 Mg 0.0000 0.0000 0.0000
Co1 Co 0.0000 0.0000 0.5000
Co2 Co 0.6667 0.3333 0.2686

Entry 3:
# HgPPt5 PBEsol relaxed
# DOS(E_F) = 0.52 states/eV/atom
# VASP energy = -6.112 eV per atom
# Calculated formation energy = -229 meV per atom
# V = 109.2 Å³/cell
# Total magnetic moment = 0.00 μB per atom
data_HgPPt5
_chemical_formula_sum 'Hg1 P1 Pt5'
_cell_length_a 3.919
_cell_length_b 3.919
_cell_length_c 7.112
_cell_angle_alpha 90.00
_cell_angle_beta 90.00
_cell_angle_gamma 90.00
_symmetry_space_group_name_H-M 'P 4/m m m'
_symmetry_Int_Tables_number 123
_symmetry_space_group_name_Hall '-P 4 2'
loop_
_atom_site_label
_atom_site_type_symbol
_atom_site_fract_x
_atom_site_fract_y
_atom_site_fract_z
Hg1 Hg 0.000 0.000 0.000
P1 P 0.500 0.500 0.500
Pt1 Pt 0.000 0.500 0.302
Pt2 Pt 0.500 0.500 0.000

Entry 4:
# BAs2RhCl PBEsol relaxed
# DOS(E_F) = 0.86 states/eV/atom
# E_form (uncorrected) = 566 meV per atom
# VASP energy = -4.909 eV per atom
# V = 93.3 Å³/cell
# Total magnetic moment = 0.00 μB per atom
data_BAs2RhCl
_chemical_formula_sum 'B1 As2 Rh1 Cl1'
_cell_length_a 4.846
_cell_length_b 4.846
_cell_length_c 3.973
_cell_angle_alpha 90.00
_cell_angle_beta 90.00
_cell_angle_gamma 90.00
_symmetry_space_group_name_H-M 'P 4/m m m'
_symmetry_Int_Tables_number 123
_symmetry_space_group_name_Hall '-P 4 2'
loop_
_atom_site_label
_atom_site_type_symbol
_atom_site_fract_x
_atom_site_fract_y
_atom_site_fract_z
B1 B 0.000 0.000 0.000
As1 As 0.000 0.500 0.500
Rh1 Rh 0.000 0.000 0.500
Cl1 Cl 0.500 0.500 0.000

Entry 5:
# MnZn2In PBEsol relaxed
# DOS(E_F) = 0.70 states/eV/atom
# VASP energy = -3.700 eV per atom
# Calculated formation energy = 277 meV per atom
# V = 200.4 Å³/cell
# Total magnetic moment = 0.80 μB per atom
data_MnZn2In
_chemical_formula_sum 'Mn3 Zn6 In3'
_cell_length_a 2.9357
_cell_length_b 2.9357
_cell_length_c 26.8492
_cell_angle_alpha 90.00
_cell_angle_beta 90.00
_cell_angle_gamma 120.00
_symmetry_space_group_name_H-M 'R -3 m'
_symmetry_Int_Tables_number 166
_symmetry_space_group_name_Hall '-R 3 2"'
loop_
_atom_site_label
_atom_site_type_symbol
_atom_site_fract_x
_atom_site_fract_y
_atom_site_fract_z
Mn1 Mn 0.0000 0.0000 0.0000
Zn1 Zn 0.0000 0.0000 0.2601
In1 In 0.0000 0.0000 0.5000

Entry 6:
# CoHg4Se PBEsol relaxed
# DOS(E_F) = 1.33 states/eV/atom
# E_form (uncorrected) = 700 meV per atom
# VASP energy = -1.609 eV per atom
# V = 516.6 Å³/cell
# Total magnetic moment = 0.32 μB per atom
data_CoHg4Se
_chemical_formula_sum 'Co4 Hg16 Se4'
_cell_length_a 8.024
_cell_length_b 8.024
_cell_length_c 8.024
_cell_angle_alpha 90.00
_cell_angle_beta 90.00
_cell_angle_gamma 90.00
_symmetry_space_group_name_H-M 'F -4 3 m'
_symmetry_Int_Tables_number 216
_symmetry_space_group_name_Hall 'F -4 2 3'
loop_
_atom_site_label
_atom_site_type_symbol
_atom_site_fract_x
_atom_site_fract_y
_atom_site_fract_z
Co1 Co 0.000 0.000 0.000
Hg1 Hg 0.125 0.125 0.375
Se1 Se 0.250 0.250 0.750

Entry 7:
# CdAgAs PBEsol relaxed
# DOS(E_F) = 0.31 states/eV/atom
# VASP energy = -3.085 eV per atom
# Calculated formation energy = 120 meV per atom
# V = 112.1 Å³/cell
# Total magnetic moment = 0.00 μB per atom
data_CdAgAs
_chemical_formula_sum 'Cd2 Ag2 As2'
_cell_length_a 2.995
_cell_length_b 2.995
_cell_length_c 12.492
_cell_angle_alpha 90.00
_cell_angle_beta 90.00
_cell_angle_gamma 90.00
_symmetry_space_group_name_H-M 'I 4 m m'
_symmetry_Int_Tables_number 107
_symmetry_space_group_name_Hall 'I 4 -2'
loop_
_atom_site_label
_atom_site_type_symbol
_atom_site_fract_x
_atom_site_fract_y
_atom_site_fract_z
Cd1 Cd 0.000 0.000 0.000
Ag1 Ag 0.000 0.000 0.338
As1 As 0.000 0.000 0.680

Entry 8:
# Ru3Rh PBEsol relaxed
# DOS(E_F) = 0.90 states/eV/atom
# VASP energy = -9.590 eV per atom
# Calculated formation energy = 74 meV per atom
# V = 53.4 Å³/cell
# Total magnetic moment = 0.00 μB per atom
data_Ru3Rh
_chemical_formula_sum 'Ru3 Rh1'
_cell_length_a 2.654
_cell_length_b 2.654
_cell_length_c 7.576
_cell_angle_alpha 90.00
_cell_angle_beta 90.00
_cell_angle_gamma 90.00
_symmetry_space_group_name_H-M 'P 4/m m m'
_symmetry_Int_Tables_number 123
_symmetry_space_group_name_Hall '-P 4 2'
loop_
_atom_site_label
_atom_site_type_symbol
_atom_site_fract_x
_atom_site_fract_y
_atom_site_fract_z
Ru1 Ru 0.000 0.000 0.000
Ru2 Ru 0.500 0.500 0.248
Rh1 Rh 0.000 0.000 0.500

Q: Which formula does entry 1 have?
A: MgAgPb2

Q: What is the formula in the fifth record?
A: MnZn2In

Q: Number 1 is which compound?
A: MgAgPb2